Density functional theory data (GGA-PBE) for ThSc2Al after structural relaxation.

Geometry as extended XYZ:
```
4
Lattice="1.671 0.965 10.225 -1.671 0.965 10.225 0.000 -1.930 10.225" Properties=species:S:1:pos:R:3 pbc="T T T"
Th 0.000 0.000 0.000
Sc 0.000 0.000 7.360
Sc 0.000 0.000 13.132
Al 0.000 0.000 25.592
```

E above lowest polymorph: 15.08 kJ/mol of atoms
DOS at the Fermi energy: 5.210 states/eV per cell
crystal system: trigonal
formation energy: -0.064 eV/atom
mass density: 5.86 Mg/m³